# GdTlO3

A relaxed GdTlO3 crystal (PBE, the Open Quantum Materials Database).

Structure (CIF):
```
data_GdTlO3
_chemical_formula_sum 'Gd2 Tl2 O6'
_symmetry_space_group_name_H-M 'P 1'
_symmetry_Int_Tables_number 1
_symmetry_space_group_name_Hall 'P 1'
_cell_length_a 6.038
_cell_length_b 6.038
_cell_length_c 6.038
_cell_angle_alpha 57.95
_cell_angle_beta 57.95
_cell_angle_gamma 57.95
loop_
_atom_site_label
_atom_site_fract_x
_atom_site_fract_y
_atom_site_fract_z
Gd1 0.140 0.140 0.140
Gd2 0.860 0.860 0.860
Tl1 0.361 0.361 0.361
Tl2 0.639 0.639 0.639
O1 0.046 0.748 0.459
O2 0.252 0.541 0.954
O3 0.459 0.046 0.748
O4 0.541 0.954 0.252
O5 0.748 0.459 0.046
O6 0.954 0.252 0.541
```

Computed properties:
symmetry = No. 148
VASP energy = -6.420 eV/atom